4
Lattice="2.021 0.000 6.422 -1.011 1.751 6.422 -1.011 -1.751 6.422" Properties=species:S:1:pos:R:3 comment="PbSeN2 PBE relaxed" e_above_lowest_polymorph_mev_per_atom=1222 rho_g_cm3=7.7 raw_formation_energy_mev_per_atom=1013 crystal_system=trigonal e_tot_ev_per_atom=-4.95 total_magnetization_mub_per_fu=0.0 pbc="T T T"
Pb 0.000 0.000 9.633
Se 0.000 0.000 0.000
N 0.000 0.000 17.312
N 0.000 0.000 1.953

***

4
Lattice="-3.751 3.560 0.833 -3.943 -1.622 3.044 5.227 -0.048 0.340" Properties=species:S:1:pos:R:3 comment="MnFeHg2 PBE relaxed" e_above_lowest_polymorph_mev_per_atom=107 rho_g_cm3=12.1 formation_energy_mev_per_atom=469.7 crystal_system=tetragonal e_tot_ev_per_atom=-4.09 total_magnetization_mub_per_fu=6.5 pbc="T T T"
Fe -1.185 2.241 1.556
Hg 0.000 0.000 0.000
Hg -1.281 -0.350 2.661
Mn -3.847 0.969 1.939

***

10
Lattice="-0.789 -1.580 4.007 -2.533 -3.124 -1.731 8.418 -6.355 -0.849" Properties=species:S:1:pos:R:3 comment="Nd2Ga4CuAu3 PBE relaxed" rho_g_cm3=10.0 formation_energy_mev_per_atom=-596.8 crystal_system=tetragonal e_tot_ev_per_atom=-4.15 total_magnetization_mub_per_fu=0.0 pbc="T T T"
Nd 1.763 -2.419 1.786
Nd 4.994 -6.289 -1.497
Ga -1.661 -2.352 1.138
Ga 0.000 0.000 0.000
Ga 4.876 -4.769 1.472
Ga 1.881 -3.939 -1.183
Cu 2.548 -5.530 0.714
Au 4.209 -3.178 -0.425
Au 6.879 -6.281 1.270
Au -0.121 -2.427 -0.981

***

20
Lattice="6.694 0.057 0.490 -0.763 6.650 0.490 -1.239 -1.401 7.129" Properties=species:S:1:pos:R:3 comment="CsPuH2F6 PBE relaxed" rho_g_cm3=5.0 crystal_system=monoclinic e_tot_ev_per_atom=-5.99 total_magnetization_mub_per_fu=5.0 pbc="T T T"
Cs -0.059 5.403 2.272
Cs 4.750 -0.097 5.836
Pu 3.161 2.557 2.272
Pu 1.531 2.749 5.836
H 1.459 -0.465 5.030
H 4.713 3.214 6.643
H 3.232 5.771 3.078
H -0.021 2.092 1.466
F 5.546 2.552 2.161
F 3.457 0.190 2.383
F -0.854 2.754 5.947
F 1.234 5.116 5.726
F 0.966 1.693 1.196
F 3.749 4.840 3.348
F 3.725 3.613 6.912
F 0.943 0.466 4.761
F 1.244 3.132 3.547
F 2.355 4.389 0.997
F 3.448 2.174 4.561
F 2.337 0.917 7.112

***

8
Lattice="-0.890 3.472 2.015 -6.919 -1.570 -0.352 2.755 -2.749 5.954" Properties=species:S:1:pos:R:3 comment="NdDy2ScAs4 PBE relaxed" rho_g_cm3=6.9 formation_energy_mev_per_atom=-1454.0 crystal_system=monoclinic e_tot_ev_per_atom=-6.32 total_magnetization_mub_per_fu=0.0 pbc="T T T"
Nd -3.905 0.951 0.832
Dy 0.932 0.361 3.985
Dy -2.082 -2.160 2.801
Sc 0.000 0.000 0.000
As -1.417 0.693 2.376
As -3.637 -1.541 5.242
As 0.408 -2.432 4.371
As -4.572 -1.887 1.231

***

4
Lattice="5.292 0.000 0.000 2.646 4.583 0.000 2.646 1.528 4.321" Properties=species:S:1:pos:R:3 comment="TmLuMgPb PBE relaxed" rho_g_cm3=9.1 formation_energy_mev_per_atom=-201.6 crystal_system=cubic e_tot_ev_per_atom=-3.78 total_magnetization_mub_per_fu=0.0 pbc="T T T"
Pb 5.292 3.055 2.160
Mg 0.000 0.000 0.000
Lu 7.938 4.583 3.241
Tm 2.646 1.528 1.080

***

10
Lattice="2.920 -8.676 0.000 2.920 8.676 0.000 0.000 0.000 6.483" Properties=species:S:1:pos:R:3 comment="LaY3Ru PBE relaxed" e_above_lowest_polymorph_mev_per_atom=855 rho_g_cm3=5.1 formation_energy_mev_per_atom=668.9 crystal_system=orthorhombic e_tot_ev_per_atom=-6.05 total_magnetization_mub_per_fu=0.0 pbc="T T T"
Y 1.490 2.591 1.621
Y 4.350 2.591 1.621
Y 1.490 -2.591 4.862
Y 4.350 -2.591 4.862
Y 0.000 0.000 0.000
Y 0.000 0.000 3.242
Ru 2.920 0.285 1.621
Ru 2.920 -0.285 4.862
La 2.920 5.808 1.621
La 2.920 -5.808 4.862

***

8
Lattice="-3.853 -0.401 -2.613 2.644 -0.610 -3.805 -0.029 -9.049 1.432" Properties=species:S:1:pos:R:3 comment="LaHfIn6 PBE relaxed" rho_g_cm3=8.4 formation_energy_mev_per_atom=-273.9 crystal_system=tetragonal e_tot_ev_per_atom=-4.19 total_magnetization_mub_per_fu=0.0 pbc="T T T"
La 0.000 0.000 0.000
Hf -0.014 -4.525 0.716
In -0.605 -0.506 -3.209
In -0.619 -5.030 -2.493
In -1.934 -2.601 -0.927
In -1.948 -6.850 -0.255
In 1.314 -2.705 -1.523
In 1.301 -6.955 -0.850

***

11
Lattice="3.837 0.000 0.000 0.000 7.428 0.031 0.000 -0.682 9.025" Properties=species:S:1:pos:R:3 comment="Nd4Rh2Au5 PBE relaxed" rho_g_cm3=11.4 formation_energy_mev_per_atom=-735.6 crystal_system=monoclinic e_tot_ev_per_atom=-5.30 total_magnetization_mub_per_fu=0.0 pbc="T T T"
Nd 1.918 5.270 5.214
Nd 1.918 0.864 7.767
Nd 1.918 1.476 3.842
Nd 1.918 5.882 1.289
Rh 0.000 0.088 5.809
Rh 0.000 6.658 3.247
Au 0.000 3.846 2.988
Au 0.000 1.180 1.260
Au 0.000 3.714 0.015
Au 0.000 5.566 7.796
Au 0.000 2.900 6.068

***

7
Lattice="-1.699 -3.577 0.560 2.574 -3.040 2.680 -3.733 2.499 4.639" Properties=species:S:1:pos:R:3 comment="SbPt4Rh2 PBE relaxed" rho_g_cm3=16.6 raw_formation_energy_mev_per_atom=-133 crystal_system=monoclinic e_tot_ev_per_atom=-6.27 total_magnetization_mub_per_fu=0.0 pbc="T T T"
Sb 0.000 0.000 0.000
Pt -2.993 -0.202 3.911
Pt -0.559 -1.243 4.648
Pt 0.135 -3.915 3.969
Pt -2.299 -2.874 3.231
Rh -2.936 -2.144 5.966
Rh 0.077 -1.973 1.914

***

8
Lattice="-2.848 5.086 -3.455 -2.122 -4.386 -4.708 -4.739 -0.001 -2.738" Properties=species:S:1:pos:R:3 comment="AlZnRu2 PBE relaxed" rho_g_cm3=8.0 formation_energy_mev_per_atom=306.5 crystal_system=tetragonal e_tot_ev_per_atom=-5.59 total_magnetization_mub_per_fu=0.0 pbc="T T T"
Ru -3.209 2.591 -3.406
Ru -2.889 -2.067 -4.085
Ru -5.434 0.228 -5.150
Ru -7.887 0.644 -9.160
Zn 0.000 0.000 0.000
Zn -5.036 2.717 -5.137
Al -2.485 0.350 -4.081
Al -4.673 -2.019 -5.764

***

5
Lattice="6.032 0.000 0.000 0.000 6.032 0.000 0.000 0.000 6.032" Properties=species:S:1:pos:R:3 comment="CsYBi3 PBE relaxed" e_above_lowest_polymorph_mev_per_atom=0 rho_g_cm3=6.4 formation_energy_mev_per_atom=-178.8 crystal_system=cubic e_tot_ev_per_atom=-3.97 total_magnetization_mub_per_fu=0.0 pbc="T T T"
Cs 3.016 3.016 3.016
Y 0.000 0.000 0.000
Bi 0.000 3.016 0.000
Bi 0.000 0.000 3.016
Bi 3.016 0.000 0.000

***

20
Lattice="3.153 0.000 0.000 0.000 9.529 0.000 0.000 0.000 9.529" Properties=species:S:1:pos:R:3 comment="Zr2MnAl2Fe5 PBE relaxed" rho_g_cm3=6.6 formation_energy_mev_per_atom=-33.5 crystal_system=tetragonal e_tot_ev_per_atom=-7.64 total_magnetization_mub_per_fu=9.4 pbc="T T T"
Zr 0.000 6.368 1.603
Zr 0.000 3.161 7.926
Zr 0.000 1.603 3.161
Zr 0.000 7.926 6.368
Mn 0.000 0.000 0.000
Mn 0.000 4.765 4.765
Al 0.000 1.238 6.003
Al 0.000 8.291 3.527
Al 0.000 6.003 8.291
Al 0.000 3.527 1.238
Fe 1.577 1.782 0.518
Fe 1.577 7.747 9.012
Fe 1.577 0.518 7.747
Fe 1.577 6.547 4.247
Fe 1.577 9.012 1.782
Fe 1.577 2.982 5.282
Fe 1.577 5.282 6.547
Fe 1.577 4.247 2.982
Fe 1.577 4.765 0.000
Fe 1.577 0.000 4.765

***

3
Lattice="5.228 0.000 0.000 2.614 4.527 0.000 2.614 1.509 4.268" Properties=species:S:1:pos:R:3 comment="BaLiSe PBE relaxed" e_above_lowest_polymorph_mev_per_atom=268 rho_g_cm3=3.7 raw_formation_energy_mev_per_atom=-997 crystal_system=cubic e_tot_ev_per_atom=-3.44 total_magnetization_mub_per_fu=0.7 pbc="T T T"
Ba 0.000 0.000 0.000
Li 5.228 3.018 2.134
Se 7.841 4.527 3.201

***

5
Lattice="5.035 0.000 0.000 0.000 4.944 0.000 0.000 0.000 4.944" Properties=species:S:1:pos:R:3 comment="LaSm2InO PBE relaxed" rho_g_cm3=7.7 raw_formation_energy_mev_per_atom=-1417 crystal_system=tetragonal e_tot_ev_per_atom=-5.83 total_magnetization_mub_per_fu=0.0 pbc="T T T"
La 2.517 0.000 0.000
Sm 0.000 0.000 2.472
Sm 0.000 2.472 0.000
In 2.517 2.472 2.472
O 0.000 0.000 0.000

***

10
Lattice="7.604 0.000 0.000 0.000 7.604 0.000 0.000 0.000 2.802" Properties=species:S:1:pos:R:3 comment="Li2As2P PBE relaxed" e_above_lowest_polymorph_mev_per_atom=25 rho_g_cm3=4.0 formation_energy_mev_per_atom=-179.4 crystal_system=tetragonal e_tot_ev_per_atom=-3.89 total_magnetization_mub_per_fu=0.0 pbc="T T T"
P 0.000 0.000 0.000
P 3.802 3.802 0.000
As 2.380 6.181 0.000
As 6.181 5.224 0.000
As 5.224 1.422 0.000
As 1.422 2.380 0.000
Li 0.873 4.675 1.401
Li 4.675 6.730 1.401
Li 6.730 2.929 1.401
Li 2.929 0.873 1.401

***

80
Lattice="13.019 0.000 0.000 -4.340 12.275 0.000 -4.340 -6.137 10.630" Properties=species:S:1:pos:R:3 comment="Mn3Rh5Se12 PBE relaxed" rho_g_cm3=6.4 raw_formation_energy_mev_per_atom=-144 crystal_system=cubic e_tot_ev_per_atom=-5.45 total_magnetization_mub_per_fu=11.4 pbc="T T T"
Mn 7.595 3.836 1.329
Mn 7.595 8.439 1.329
Mn -1.085 5.370 6.644
Mn 1.085 -0.767 3.986
Mn 9.765 0.000 2.658
Mn 1.085 6.137 2.658
Mn 3.255 0.000 7.973
Mn -5.425 6.137 7.973
Mn 3.255 6.905 6.644
Mn 5.425 0.767 3.986
Mn -3.255 -2.302 9.301
Mn -3.255 2.302 9.301
Rh -1.085 3.069 2.658
Rh -2.170 6.137 0.000
Rh 0.000 0.000 0.000
Rh 3.255 2.302 1.329
Rh 4.340 -3.069 5.315
Rh 4.340 6.137 0.000
Rh -3.255 6.905 3.986
Rh 5.425 -3.836 9.301
Rh 5.425 5.370 3.986
Rh 1.085 -3.069 7.973
Rh 3.255 9.206 2.658
Rh 2.170 3.069 5.315
Rh 6.510 0.000 0.000
Rh -2.170 -3.069 5.315
Rh -1.085 0.767 6.644
Rh -1.085 9.973 1.329
Rh -4.340 3.069 5.315
Rh 7.595 -0.767 6.644
Rh 1.085 3.836 9.301
Rh 5.425 3.069 7.973
Se 8.613 1.253 0.461
Se 0.067 4.094 4.461
Se 9.595 2.883 3.006
Se 5.595 1.907 1.316
Se 1.690 4.668 7.163
Se 9.181 6.057 1.848
Se -0.915 7.113 4.321
Se -3.425 10.368 1.316
Se 0.480 7.607 7.163
Se 6.008 6.218 1.848
Se 6.577 3.296 4.000
Se 6.577 11.022 0.461
Se -3.860 5.469 5.776
Se 2.672 4.577 0.994
Se -4.407 8.979 4.000
Se 2.237 -2.043 6.170
Se -0.480 0.801 2.309
Se 2.672 7.778 0.854
Se 5.595 9.392 3.006
Se -0.502 4.497 0.854
Se -2.650 6.938 8.321
Se 3.085 5.161 4.321
Se 6.029 6.806 5.776
Se 4.842 -1.560 9.637
Se 1.255 0.976 6.309
Se -1.690 -0.668 4.854
Se -0.502 7.698 0.994
Se -1.255 -3.255 7.624
Se 6.990 -0.801 2.309
Se 4.842 1.641 9.776
Se 1.668 -1.641 9.776
Se 2.103 8.180 4.461
Se 4.820 5.337 8.321
Se 8.747 -2.842 6.631
Se 8.199 0.668 4.854
Se -2.237 -4.885 10.169
Se 1.668 1.560 9.637
Se 3.860 -1.469 3.467
Se -1.668 -0.080 8.782
Se -2.237 2.842 6.631
Se 7.765 -4.230 9.315
Se 5.255 -0.976 6.309
Se -1.255 4.230 9.315
Se -4.842 0.080 8.782
Se 2.650 1.469 3.467
Se -5.255 3.255 7.624
Se 4.273 2.043 6.170
Se -4.273 4.885 10.169

***

10
Lattice="5.993 -0.028 -0.290 -3.014 6.319 -0.226 -0.422 -3.102 8.350" Properties=species:S:1:pos:R:3 comment="La3CdOs PBE relaxed" e_above_lowest_polymorph_mev_per_atom=7 rho_g_cm3=7.8 formation_energy_mev_per_atom=-228.5 crystal_system=triclinic e_tot_ev_per_atom=-5.61 total_magnetization_mub_per_fu=0.0 pbc="T T T"
La -0.458 4.524 0.630
La 0.054 0.163 5.522
La 2.734 2.667 5.992
La -0.178 0.523 1.842
La 3.014 -1.335 7.204
La 2.502 3.027 2.312
Cd 2.976 -0.086 3.763
Cd -0.420 3.276 4.071
Os 2.470 4.250 -0.133
Os 0.086 -1.061 7.967

***

8
Lattice="-3.186 2.590 -1.311 -3.754 -1.682 -1.285 -5.270 0.746 7.192" Properties=species:S:1:pos:R:3 comment="CaCuGe2Pd4 PBE relaxed" rho_g_cm3=8.1 formation_energy_mev_per_atom=-475.6 crystal_system=trigonal e_tot_ev_per_atom=-4.99 total_magnetization_mub_per_fu=0.0 pbc="T T T"
Ca 0.000 0.000 0.000
Cu -6.105 0.827 2.298
Ge -9.061 1.226 3.185
Ge -3.148 0.428 1.411
Pd -6.967 0.956 4.647
Pd -8.110 1.083 0.594
Pd -4.099 0.571 4.002
Pd -5.243 0.698 -0.051

***

10
Lattice="4.524 0.000 0.000 0.000 8.131 0.245 0.000 -3.222 9.274" Properties=species:S:1:pos:R:3 comment="Sr2InBiP PBE relaxed" rho_g_cm3=5.1 formation_energy_mev_per_atom=-710.1 crystal_system=monoclinic e_tot_ev_per_atom=-3.79 total_magnetization_mub_per_fu=0.0 pbc="T T T"
Sr 3.393 4.490 5.861
Sr 3.393 6.463 0.536
Sr 1.131 0.419 3.659
Sr 1.131 -1.554 8.983
In 1.131 1.447 7.579
In 3.393 3.462 1.940
Bi 1.131 5.016 3.173
Bi 3.393 -0.107 6.346
P 1.131 3.977 7.805
P 3.393 0.932 1.714